Entry i
This record from the Alexandria database describes a geometry-optimized Pd2PtAu3 structure. The functional is PBE.

Values from the calculation:
SG = No. 2
Theoretical density = 16.6 g/cm3
Magnetic moment = 0.00 μB/atom

Unit cell a=4.946 b=6.432 c=7.063 alpha=68.01 beta=89.75 gamma=75.08
Fractional positions:
Pd: 0.121 0.378 0.372
Pd: 0.372 0.133 0.124
Pd: 0.628 0.867 0.876
Pd: 0.879 0.622 0.628
Pt: 0.207 0.617 0.961
Pt: 0.793 0.383 0.039
Au: 0.046 0.121 0.794
Au: 0.294 0.874 0.544
Au: 0.461 0.371 0.711
Au: 0.539 0.629 0.289
Au: 0.706 0.126 0.456
Au: 0.954 0.879 0.206

***

Entry ii
This record from the Alexandria database describes a geometry-optimized Pd2PtAu3 structure. The functional is PBE.

Values from the calculation:
SG = No. 15
Theoretical density = 16.0 g/cm3
Magnetic moment = 0.00 μB/atom

Unit cell a=7.290 b=7.290 c=5.644 alpha=101.24 beta=101.24 gamma=45.03
Fractional positions:
Pd: 0.152 0.154 0.077
Pd: 0.154 0.152 0.577
Pd: 0.846 0.848 0.423
Pd: 0.848 0.846 0.923
Pt: 0.253 0.747 0.750
Pt: 0.747 0.253 0.250
Au: 0.253 0.747 0.250
Au: 0.333 0.335 0.417
Au: 0.335 0.333 0.917
Au: 0.665 0.667 0.083
Au: 0.667 0.665 0.583
Au: 0.747 0.253 0.750

***

Computed relative energies in units of eV/atom: entry i 0.000; entry ii 0.114